Entry from the Alexandria database: an optimized crystal structure of CsMoI2O8 (GGA+U).

Values from the calculation:
Its space-group type is No. 12. The uncorrected energy is -5.076 eV per atom. Its density is 4.39 g/cm³.

Lattice parameters (Å, degrees): 6.787 6.787 7.071 108.29 108.29 49.03
Fractional coordinates of all 12 atoms:
Cs 0.000 0.000 0.000
Mo 0.500 0.500 0.500
I 0.210 0.210 0.661
I 0.790 0.790 0.339
O 0.129 0.643 0.309
O 0.183 0.183 0.395
O 0.357 0.871 0.691
O 0.420 0.420 0.677
O 0.580 0.580 0.323
O 0.643 0.129 0.309
O 0.817 0.817 0.605
O 0.871 0.357 0.691